No. 1
A geometry-optimized PuTiZn structure, computed with GGA-PBE.

Structure (CIF):
```
data_PuTiZn
_space_group_name_H-M_alt 'P 1'
_space_group_IT_number 1
_cell_length_a 2.801
_cell_length_b 4.786
_cell_length_c 4.786
_cell_angle_alpha 120.00
_cell_angle_beta 90.00
_cell_angle_gamma 90.00
loop_
_space_group_symop_operation_xyz
'x,y,z'
loop_
_atom_site_label
_atom_site_type_symbol
_atom_site_fract_x
_atom_site_fract_y
_atom_site_fract_z
Zn1 Zn 0.667 0.667 0.333
Ti1 Ti 0.166 0.333 0.667
Pu1 Pu 0.167 0.000 0.000
```

Calculated values
- energy above the most stable polymorph in this dataset (kJ per mole of atoms) = 1.5
- total moment (μB per formula unit) = 5.2
- DOS at the Fermi energy (states/eV/f.u.) = 7.094
- symmetry = P-6m2
- energy of formation (eV per atom) = 0.16

No. 2
A geometry-optimized PuZrTiZn structure, computed with GGA-PBE.

Structure (CIF):
```
data_PuZrTiZn
_space_group_name_H-M_alt 'P 1'
_space_group_IT_number 1
_cell_length_a 4.806
_cell_length_b 4.806
_cell_length_c 4.806
_cell_angle_alpha 60.00
_cell_angle_beta 60.00
_cell_angle_gamma 60.00
loop_
_space_group_symop_operation_xyz
'x,y,z'
loop_
_atom_site_label
_atom_site_type_symbol
_atom_site_fract_x
_atom_site_fract_y
_atom_site_fract_z
Zn1 Zn 0.000 0.000 0.000
Ti1 Ti 0.250 0.250 0.250
Zr1 Zr 0.750 0.750 0.750
Pu1 Pu 0.500 0.500 0.500
```

Calculated values
- total moment (μB per formula unit) = 6.6
- DOS at the Fermi energy (states/eV/f.u.) = 11.246
- symmetry = F-43m
- energy of formation (eV per atom) = 0.13

No. 3
A geometry-optimized PuZr14Ti structure, computed with GGA-PBE.

Structure (CIF):
```
data_PuZr14Ti
_space_group_name_H-M_alt 'P 1'
_space_group_IT_number 1
_cell_length_a 6.265
_cell_length_b 6.265
_cell_length_c 9.476
_cell_angle_alpha 90.00
_cell_angle_beta 90.00
_cell_angle_gamma 98.76
loop_
_space_group_symop_operation_xyz
'x,y,z'
loop_
_atom_site_label
_atom_site_type_symbol
_atom_site_fract_x
_atom_site_fract_y
_atom_site_fract_z
Pu1 Pu 0.375 0.625 0.000
Zr1 Zr 0.377 0.623 0.500
Zr2 Zr 0.825 0.175 0.500
Zr3 Zr 0.839 0.576 0.000
Zr4 Zr 0.898 0.684 0.500
Zr5 Zr 0.424 0.161 0.000
Zr6 Zr 0.316 0.102 0.500
Zr7 Zr 0.662 0.907 0.759
Zr8 Zr 0.662 0.907 0.241
Zr9 Zr 0.093 0.338 0.759
Zr10 Zr 0.093 0.338 0.241
Zr11 Zr 0.148 0.852 0.778
Zr12 Zr 0.148 0.852 0.222
Zr13 Zr 0.603 0.397 0.726
Zr14 Zr 0.603 0.397 0.274
Ti1 Ti 0.931 0.069 0.000
```

Calculated values
- total moment (μB per formula unit) = 4.5
- DOS at the Fermi energy (states/eV/f.u.) = 21.081
- symmetry = Amm2
- energy of formation (eV per atom) = 0.05

In Mg/m³, the mass density values for the records above are, in order, 10.67, 9.49, 7.09.